No. 1
Computed, not measured: a relaxed Pr2CdIr crystal at the PBE level of DFT.

Unit cell a=8.1945 b=8.1945 c=8.1945 alpha=30.06 beta=30.06 gamma=30.06
With the nearest neighbours (Å) after each atom.
Positions (direct):
1 Pr 0.0000 0.0000 0.0000  3 Ir 2.87
2 Pr 0.2043 0.2043 0.2043  3 Ir 2.90
3 Cd 0.7677 0.7677 0.7677  6 Pr 3.41-3.45
4 Ir 0.6036 0.6036 0.6036  6 Pr 2.87-2.90

Results
crystal system	trigonal
distance to the lowest polymorph of the same formula	73	meV per atom
E_tot	-5.246	eV/atom
formation energy from the elements	-0.4126	eV/atom
space group	R3m


No. 2
Computed, not measured: a relaxed BeNi3S crystal at the PBE level of DFT.

Unit cell a=4.0721 b=4.0721 c=4.0721 alpha=90.00 beta=90.00 gamma=90.00
With the nearest neighbours (Å) after each atom.
Positions (direct):
1 Be 0.0000 0.0000 0.0000  12 Ni 2.88
2 Ni 0.0000 0.5000 0.5000  2 S 2.04
3 Ni 0.5000 0.0000 0.5000  2 S 2.04
4 Ni 0.5000 0.5000 0.0000  2 S 2.04
5 S 0.5000 0.5000 0.5000  6 Ni 2.04

Results
crystal system	cubic
distance to the lowest polymorph of the same formula	0	meV per atom
E_tot	-4.793	eV/atom
space group	Pm-3m
E_form (uncorrected)	246.7	meV per atom


No. 3
Computed, not measured: a relaxed Dy2ErNpAs4 crystal at the PBE level of DFT.

Unit cell a=7.1045 b=4.0985 c=7.1086 alpha=90.00 beta=109.31 gamma=90.00
With the nearest neighbours (Å) after each atom.
Positions (direct):
1 Dy 0.0000 0.0000 0.0000  6 As 2.91-2.92
2 Dy 0.5000 0.5000 0.0000  6 As 2.91
3 Er 0.0000 0.5000 0.5000  6 As 2.89
4 Np 0.5000 0.0000 0.5000  6 As 2.88-2.89
5 As 0.2501 0.0000 0.7467  1 Np 2.88, 2 Er 2.89, 3 Dy 2.91-2.92
6 As 0.2508 0.5000 0.2524  1 Er 2.89, 2 Np 2.89, 3 Dy 2.91
7 As 0.7492 0.5000 0.7476  1 Er 2.89, 2 Np 2.89, 3 Dy 2.91
8 As 0.7499 0.0000 0.2533  1 Np 2.88, 2 Er 2.89, 3 Dy 2.91-2.92

Results
crystal system	monoclinic
E_tot	-6.973	eV/atom
formation energy from the elements	-1.3096	eV/atom
space group	P2/m


No. 4
Computed, not measured: a relaxed Be2TlVTe crystal at the PBE level of DFT.

Unit cell a=4.4470 b=4.4470 c=5.6413 alpha=90.00 beta=90.00 gamma=90.00
With the nearest neighbours (Å) after each atom.
Positions (direct):
1 Be 0.0000 0.5000 0.0000  2 Tl 2.22
2 Be 0.5000 0.0000 0.0000  2 Tl 2.22
3 Tl 0.0000 0.0000 0.0000  4 Be 2.22
4 V 0.0000 0.0000 0.5000  2 Tl 2.82, 4 Te 3.14
5 Te 0.5000 0.5000 0.5000  4 V 3.14

Results
crystal system	tetragonal
E_tot	-3.384	eV/atom
space group	P4/mmm
E_form (uncorrected)	1032.0	meV per atom


No. 5
Computed, not measured: a relaxed CuN crystal at the PBE level of DFT.

Unit cell a=2.6060 b=2.6060 c=2.6060 alpha=90.00 beta=90.00 gamma=90.00
With the nearest neighbours (Å) after each atom.
Positions (direct):
1 Cu 0.0000 0.0000 0.0000  8 N 2.26
2 N 0.5000 0.5000 0.5000  8 Cu 2.26

Results
crystal system	cubic
distance to the lowest polymorph of the same formula	1020	meV per atom
E_tot	-4.813	eV/atom
space group	Pm-3m
E_form (uncorrected)	1397.3	meV per atom


No. 6
Computed, not measured: a relaxed CaNbSe3 crystal at the PBE level of DFT.

Unit cell a=5.2844 b=5.2844 c=5.2844 alpha=90.00 beta=90.00 gamma=90.00
With the nearest neighbours (Å) after each atom.
Positions (direct):
1 Ca 0.0000 0.0000 0.0000  6 Se 2.64
2 Nb 0.5000 0.5000 0.5000  12 Se 3.74
3 Se 0.0000 0.0000 0.5000  2 Ca 2.64
4 Se 0.0000 0.5000 0.0000  2 Ca 2.64
5 Se 0.5000 0.0000 0.0000  2 Ca 2.64

Results
crystal system	cubic
distance to the lowest polymorph of the same formula	1317	meV per atom
E_tot	-4.053	eV/atom
space group	Pm-3m
E_form (uncorrected)	451.8	meV per atom


No. 7
Computed, not measured: a relaxed Li2SmSnSe4 crystal at the PBE level of DFT.

Unit cell a=6.9177 b=4.0700 c=7.1369 alpha=90.00 beta=110.07 gamma=90.00
With the nearest neighbours (Å) after each atom.
Positions (direct):
1 Li 0.0000 0.0000 0.0000  6 Se 2.81-2.82
2 Li 0.0000 0.5000 0.5000  6 Se 2.84-2.89
3 Sm 0.5000 0.0000 0.5000  6 Se 2.91-2.94
4 Sn 0.5000 0.5000 0.0000  6 Se 2.87-2.89
5 Se 0.2395 0.0000 0.7500  3 Li 2.82-2.84, 2 Sn 2.89, 1 Sm 2.94
6 Se 0.2419 0.5000 0.2403  3 Li 2.81-2.89, 1 Sn 2.87, 2 Sm 2.91
7 Se 0.7581 0.5000 0.7597  3 Li 2.81-2.89, 1 Sn 2.87, 2 Sm 2.91
8 Se 0.7605 0.0000 0.2500  3 Li 2.82-2.84, 2 Sn 2.89, 1 Sm 2.94

Results
crystal system	monoclinic
E_tot	-4.483	eV/atom
space group	P2/m
E_form (uncorrected)	-1172.4	meV per atom


No. 8
Computed, not measured: a relaxed SmDy3Sn2 crystal at the PBE level of DFT.

Unit cell a=9.2863 b=9.2863 c=9.5563 alpha=113.18 beta=113.18 gamma=28.48
With the nearest neighbours (Å) after each atom.
Positions (direct):
1 Sm 0.1145 0.1145 0.1299  6 Sn 3.23-3.43, 1 Dy 3.56
2 Sm 0.8855 0.8855 0.8701  6 Sn 3.23-3.43, 1 Dy 3.56
3 Dy 0.0552 0.0552 0.6899  3 Sn 3.07-3.30, 3 Dy 3.33-3.36
4 Dy 0.3079 0.3079 0.1110  4 Sn 3.18-3.48, 4 Dy 3.24-3.33
5 Dy 0.3539 0.3539 0.5178  4 Sn 3.17-3.29
6 Dy 0.6461 0.6461 0.4822  4 Sn 3.17-3.29
7 Dy 0.6921 0.6921 0.8890  4 Sn 3.18-3.48, 4 Dy 3.24-3.33
8 Dy 0.9448 0.9448 0.3101  3 Sn 3.07-3.30, 3 Dy 3.33-3.36
9 Sn 0.2436 0.2436 0.7150  7 Dy 3.17-3.48, 2 Sm 3.30
10 Sn 0.4915 0.4915 0.1463  1 Sn 2.94, 4 Dy 3.07-3.29, 2 Sm 3.23
11 Sn 0.5085 0.5085 0.8537  1 Sn 2.94, 4 Dy 3.07-3.29, 2 Sm 3.23
12 Sn 0.7564 0.7564 0.2850  7 Dy 3.17-3.48, 2 Sm 3.30

Results
crystal system	monoclinic
E_tot	-4.924	eV/atom
formation energy from the elements	-0.5025	eV/atom
space group	C2/m


No. 9
Computed, not measured: a relaxed FeOsRh2 crystal at the PBE level of DFT.

Unit cell a=2.6995 b=4.3093 c=4.7135 alpha=90.00 beta=90.00 gamma=90.00
With the nearest neighbours (Å) after each atom.
Positions (direct):
1 Fe 0.0000 0.0000 0.0000  2 Os 2.63, 8 Rh 2.66-2.76, 2 Fe 2.70
2 Os 0.0000 0.5000 0.6798  2 Fe 2.63, 8 Rh 2.66-2.76, 2 Os 2.70
3 Rh 0.5000 0.0000 0.5104  4 Os 2.66, 4 Fe 2.67-2.76, 4 Rh 2.69-2.70
4 Rh 0.5000 0.5000 0.1689  4 Fe 2.66, 4 Os 2.67-2.76, 4 Rh 2.69-2.70

Results
crystal system	orthorhombic
distance to the lowest polymorph of the same formula	0	meV per atom
E_tot	-8.585	eV/atom
formation energy from the elements	0.0136	eV/atom
space group	Pmm2


No. 10
Computed, not measured: a relaxed TbSc2O4 crystal at the PBE level of DFT.

Unit cell a=6.4809 b=6.4809 c=6.4809 alpha=119.95 beta=119.95 gamma=90.08
With the nearest neighbours (Å) after each atom.
Positions (direct):
1 Tb 0.3750 0.6250 0.7500  4 O 2.18
2 Tb 0.6250 0.3750 0.2500  4 O 2.18
3 Sc 0.0000 0.0000 0.0000  6 O 2.18
4 Sc 0.0000 0.0000 0.5000  6 O 2.18
5 Sc 0.0000 0.5000 0.0000  6 O 2.18
6 Sc 0.5000 0.0000 0.5000  6 O 2.18
7 O 0.2129 0.2378 0.9751  1 Tb 2.18, 3 Sc 2.18
8 O 0.2374 0.7622 0.4751  1 Tb 2.18, 3 Sc 2.18
9 O 0.2378 0.2129 0.4751  1 Tb 2.18, 3 Sc 2.18
10 O 0.2378 0.7626 0.0249  1 Tb 2.18, 3 Sc 2.18
11 O 0.7622 0.2374 0.9751  1 Tb 2.18, 3 Sc 2.18
12 O 0.7622 0.7871 0.5249  1 Tb 2.18, 3 Sc 2.18
13 O 0.7626 0.2378 0.5249  1 Tb 2.18, 3 Sc 2.18
14 O 0.7871 0.7622 0.0249  1 Tb 2.18, 3 Sc 2.18

Results
crystal system	tetragonal
distance to the lowest polymorph of the same formula	77	meV per atom
E_tot	-8.583	eV/atom
space group	I4_1/amd
E_form (uncorrected)	-3279.5	meV per atom


No. 11
Computed, not measured: a relaxed CsHfPb2 crystal at the PBE level of DFT.

Unit cell a=3.9289 b=3.9289 c=8.6624 alpha=90.00 beta=90.00 gamma=90.00
With the nearest neighbours (Å) after each atom.
Positions (direct):
1 Cs 0.0000 0.0000 0.0000  4 Cs 3.93, 8 Pb 3.95, 2 Hf 4.33
2 Hf 0.0000 0.0000 0.5000  8 Pb 3.17
3 Pb 0.5000 0.5000 0.3235  1 Pb 3.06, 4 Hf 3.17
4 Pb 0.5000 0.5000 0.6765  1 Pb 3.06, 4 Hf 3.17

Results
crystal system	tetragonal
distance to the lowest polymorph of the same formula	0	meV per atom
E_tot	-4.487	eV/atom
formation energy from the elements	0.0694	eV/atom
space group	P4/mmm


No. 12
Computed, not measured: a relaxed PrTeO5 crystal at the PBE level of DFT.

Unit cell a=5.7286 b=5.7286 c=7.8273 alpha=109.88 beta=109.88 gamma=71.49
With the nearest neighbours (Å) after each atom.
Positions (direct):
1 Pr 0.0449 0.9551 0.7500  7 O 2.35-2.52
2 Pr 0.9551 0.0449 0.2500  7 O 2.35-2.52
3 Te 0.5000 0.5000 0.0000  6 O 1.89-2.03
4 Te 0.5000 0.5000 0.5000  6 O 1.89-2.03
5 O 0.2078 0.7768 0.0306  1 Te 1.92
6 O 0.2232 0.7922 0.4694  1 Te 1.92
7 O 0.2635 0.2904 0.3871  1 Te 1.89
8 O 0.2904 0.2635 0.8871  1 Te 1.89
9 O 0.4218 0.5782 0.7500  2 Te 2.03
10 O 0.5782 0.4218 0.2500  2 Te 2.03
11 O 0.7096 0.7365 0.1129  1 Te 1.89
12 O 0.7365 0.7096 0.6129  1 Te 1.89
13 O 0.7768 0.2078 0.5306  1 Te 1.92
14 O 0.7922 0.2232 0.9694  1 Te 1.92

Results
crystal system	monoclinic
distance to the lowest polymorph of the same formula	0	meV per atom
E_tot	-6.362	eV/atom
space group	C2/c
E_form (uncorrected)	-1688.4	meV per atom